Computed, not measured: an optimized crystal structure of Sm4YAg at the PBE level of DFT.

The space group is P4/mmm (No. 123) and the conventional cell measures 3.629, 3.629 and 14.111 Å, with angles of 90.00, 90.00 and 90.00 degrees. The inequivalent atoms are Sm at (0.000, 0.000, 0.138), Sm at (0.500, 0.500, 0.321), Y at (0.000, 0.000, 0.500) and Ag at (0.500, 0.500, 0.000).

The calculated total energy comes out at -0.3505 Ry per atom. The value obtained for the calculated formation energy is -0.0706 eV/atom. The calculation puts the total magnetic moment at 0.00 Bohr magnetons per cell. As for the relative energy among the computed polymorphs: 0 kJ/mol of formula units.